No. 1
# Li2TcWN4

A geometry-optimized Li2TcWN4 structure (PBE-GGA, the Alexandria database).

a = 6.6315 Å, b = 5.8017 Å, c = 5.1507 Å
α = 90.00°, β = 90.00°, γ = 90.00°
Closest atoms and distances in Å follow each position.
Space group Pmn2_1 (No. 31)
Inequivalent atoms, fractional coordinates:
Li 0.2439 0.1510 0.0000 [4 per cell]  4 N 2.06-2.16
Tc 0.0000 0.6588 0.0120 [2 per cell]  4 N 1.91-1.92
W 0.0000 0.3583 0.4908 [2 per cell]  4 N 1.90-1.92
N 0.0000 0.3570 0.8594 [2 per cell]  1 W 1.90, 1 Tc 1.92
N 0.0000 0.6749 0.3851 [2 per cell]  1 W 1.92, 1 Tc 1.92, 2 Li 2.06
N 0.2492 0.2026 0.4158 [4 per cell]  1 Tc 1.91, 1 W 1.92, 1 Li 2.10

Output
**Calculated volume**: 12.39 Å³/atom
**Energy relative to the elements, uncorrected**: -0.3454 eV per atom
**DOS(E_F)**: 6.114 states/eV per cell
**Calculated total energy**: -126.423 eV/cell

---

No. 2
# CePr3Pb2

A geometry-optimized CePr3Pb2 structure (PBE-GGA, the Alexandria database).

a = 4.6773 Å, b = 4.6773 Å, c = 9.0169 Å
α = 90.00°, β = 90.00°, γ = 90.00°
Closest atoms and distances in Å follow each position.
Space group P-4m2 (No. 115)
Inequivalent atoms, fractional coordinates:
Ce 0.0000 0.0000 0.0000 [1 per cell]  4 Pr 3.31, 4 Pb 3.44
Pr 0.0000 0.5000 0.3512 [2 per cell]  5 Pb 3.33-3.37
Pr 0.5000 0.5000 0.0000 [1 per cell]  4 Ce 3.31, 4 Pb 3.44
Pb 0.0000 0.5000 0.7209 [2 per cell]  7 Pr 3.33-3.44, 2 Ce 3.44

Output
**DFT formation energy**: -0.41 eV/atom
**Calculated volume**: 32.88 Å³/atom
**DOS(E_F)**: 10.310 states/eV per cell
**Calculated total energy**: -30.155 eV/cell
**Energy above the most stable polymorph in this dataset**: 0.0 meV/atom

---

No. 3
# MgSc2SeN

A geometry-optimized MgSc2SeN structure (PBE-GGA, the Alexandria database).

a = 5.2471 Å, b = 5.2471 Å, c = 4.5576 Å
α = 90.00°, β = 90.00°, γ = 90.00°
Closest atoms and distances in Å follow each position.
Space group P4/mmm (No. 123)
Inequivalent atoms, fractional coordinates:
Mg 0.0000 0.0000 0.0000 [1 per cell]  2 Se 2.28
Sc 0.0000 0.5000 0.0000 [2 per cell]  2 Mg 2.62
Se 0.0000 0.0000 0.5000 [1 per cell]  2 Mg 2.28
N 0.5000 0.5000 0.5000 [1 per cell]  8 Sc 3.48, 4 Se 3.71

Output
**Calculated volume**: 25.10 Å³/atom
**Energy relative to the elements, uncorrected**: 1.2966 eV per atom
**DOS(E_F)**: 5.114 states/eV per cell
**Calculated total energy**: -19.584 eV/cell

---

No. 4
# Hg3PtF

A geometry-optimized Hg3PtF structure (PBE-GGA, the Alexandria database).

a = 4.7371 Å, b = 4.7371 Å, c = 4.7371 Å
α = 90.00°, β = 90.00°, γ = 90.00°
Closest atoms and distances in Å follow each position.
Space group Pm-3m (No. 221)
Inequivalent atoms, fractional coordinates:
Hg 0.0000 0.0000 0.5000 [3 per cell]  2 F 2.37
Pt 0.5000 0.5000 0.5000 [1 per cell]  12 Hg 3.35
F 0.0000 0.0000 0.0000 [1 per cell]  6 Hg 2.37

Output
**Calculated volume**: 21.26 Å³/atom
**Energy relative to the elements, uncorrected**: 0.2228 eV per atom
**DOS(E_F)**: 3.304 states/eV per cell
**Calculated total energy**: -7.703 eV/cell
**Energy above the most stable polymorph in this dataset**: 454.1 meV/atom

---

No. 5
# YNiSe

A geometry-optimized YNiSe structure (PBE-GGA, the Alexandria database).

a = 4.4058 Å, b = 5.5228 Å, c = 9.6442 Å
α = 90.00°, β = 90.00°, γ = 90.00°
Closest atoms and distances in Å follow each position.
Space group Fmm2 (No. 42)
Inequivalent atoms, fractional coordinates:
Y 0.0000 0.0000 0.0000 [4 per cell]  3 Ni 2.82-3.06, 3 Se 2.90-2.93
Ni 0.0000 0.0000 0.6828 [4 per cell]  2 Se 2.49
Se 0.0000 0.0000 0.3041 [4 per cell]  2 Ni 2.49

Output
**Calculated volume**: 19.56 Å³/atom
**Energy relative to the elements, uncorrected**: -0.5858 eV per atom
**DOS(E_F)**: 12.132 states/eV per cell
**Calculated total energy**: -69.949 eV/cell
**Energy above the most stable polymorph in this dataset**: 463.3 meV/atom

---

No. 6
# Li4YTm3S8

A geometry-optimized Li4YTm3S8 structure (PBE-GGA, the Alexandria database).

a = 7.7462 Å, b = 7.7462 Å, c = 18.4971 Å
α = 90.00°, β = 90.00°, γ = 120.00°
Closest atoms and distances in Å follow each position.
Space group R-3m (No. 166, hexagonal axes)
Inequivalent atoms, fractional coordinates:
Li 0.0000 0.0000 0.0000 [3 per cell]  6 S 2.70
Li 0.0000 0.5000 0.0000 [9 per cell]  6 S 2.73
Y 0.0000 0.0000 0.5000 [3 per cell]  6 S 2.73
Tm 0.0000 0.5000 0.5000 [9 per cell]  6 S 2.70-2.71
S 0.0000 0.0000 0.2491 [6 per cell]  3 Tm 2.71, 3 Li 2.73
S 0.0032 0.5016 0.7503 [18 per cell]  3 Li 2.70-2.73, 2 Tm 2.70, 1 Y 2.73

Output
**Calculated volume**: 20.02 Å³/atom
**Energy relative to the elements, uncorrected**: -1.8590 eV per atom
**DOS(E_F)**: 0.000 states/eV per cell
**Calculated total energy**: -270.892 eV/cell

---

No. 7
# AcCdGe3

A geometry-optimized AcCdGe3 structure (PBE-GGA, the Alexandria database).

a = 4.4073 Å, b = 26.2313 Å, c = 4.2944 Å
α = 90.00°, β = 90.00°, γ = 90.00°
Closest atoms and distances in Å follow each position.
Space group Cmcm (No. 63)
Inequivalent atoms, fractional coordinates:
Ac 0.0000 0.0795 0.2500 [4 per cell]  12 Ge 3.36-3.70
Cd 0.0000 0.2020 0.7500 [4 per cell]  7 Ge 2.76-3.09
Ge 0.0000 0.3071 0.7500 [4 per cell]  2 Ge 2.69, 1 Cd 2.76
Ge 0.0000 0.3687 0.2500 [4 per cell]  3 Ge 2.69-2.72, 2 Cd 2.88
Ge 0.0000 0.4725 0.2500 [4 per cell]  3 Ge 2.59-2.72

Output
**DFT formation energy**: -0.29 eV/atom
**Calculated volume**: 24.82 Å³/atom
**DOS(E_F)**: 8.204 states/eV per cell
**Calculated total energy**: -81.360 eV/cell

---

No. 8
# H2S

A geometry-optimized H2S structure (PBE-GGA, the Alexandria database).

a = 4.8733 Å, b = 5.1019 Å, c = 4.2258 Å
α = 90.00°, β = 90.00°, γ = 90.00°
Closest atoms and distances in Å follow each position.
Space group P2_12_12 (No. 18)
Inequivalent atoms, fractional coordinates:
H 0.1486 0.1310 0.4906 [4 per cell]  1 S 1.36
S 0.0000 0.0000 0.2697 [2 per cell]  2 H 1.36

Output
**Calculated volume**: 17.51 Å³/atom
**DOS(E_F)**: 0.000 states/eV per cell
**Calculated total energy**: -22.697 eV/cell
**Energy above the most stable polymorph in this dataset**: 6.6 meV/atom

---

No. 9
# UPa2Si2

A geometry-optimized UPa2Si2 structure (PBE-GGA, the Alexandria database).

a = 7.3484 Å, b = 7.3484 Å, c = 3.9762 Å
α = 90.00°, β = 90.00°, γ = 90.00°
Closest atoms and distances in Å follow each position.
Space group P4/mbm (No. 127)
Inequivalent atoms, fractional coordinates:
U 0.0000 0.0000 0.0000 [2 per cell]  4 Si 2.95
Pa 0.1853 0.3147 0.5000 [4 per cell]  6 Si 2.87-3.01
Si 0.1150 0.6150 0.0000 [4 per cell]  1 Si 2.39

Output
**Calculated volume**: 21.47 Å³/atom
**Energy relative to the elements, uncorrected**: -0.3705 eV per atom
**DOS(E_F)**: 22.337 states/eV per cell
**Calculated total energy**: -85.957 eV/cell

---

No. 10
# ZrSc2CoBi

A geometry-optimized ZrSc2CoBi structure (PBE-GGA, the Alexandria database).

a = 4.8910 Å, b = 4.8910 Å, c = 4.7883 Å
α = 90.00°, β = 90.00°, γ = 90.00°
Closest atoms and distances in Å follow each position.
Space group P4/mmm (No. 123)
Inequivalent atoms, fractional coordinates:
Zr 0.0000 0.0000 0.0000 [1 per cell]  2 Co 2.39
Sc 0.0000 0.5000 0.5000 [2 per cell]  2 Co 2.45
Co 0.0000 0.0000 0.5000 [1 per cell]  2 Zr 2.39, 4 Sc 2.45
Bi 0.5000 0.5000 0.0000 [1 per cell]  8 Sc 3.42, 4 Zr 3.46

Output
**DFT formation energy**: -0.26 eV/atom
**Calculated volume**: 22.91 Å³/atom
**DOS(E_F)**: 5.567 states/eV per cell
**Calculated total energy**: -33.484 eV/cell

---

No. 11
# CaTa2N

A geometry-optimized CaTa2N structure (PBE-GGA, the Alexandria database).

a = 6.4150 Å, b = 6.4150 Å, c = 9.0598 Å
α = 90.00°, β = 90.00°, γ = 90.00°
Closest atoms and distances in Å follow each position.
Space group I4_1/amd (No. 141, origin choice 2)
Inequivalent atoms, fractional coordinates:
Ca 0.0000 0.2500 0.3750 [4 per cell]  12 Ta 3.76, 4 Ca 3.93, 4 N 3.93
Ta 0.0000 0.0000 0.0000 [8 per cell]  2 N 1.96
N 0.0000 0.2500 0.8750 [4 per cell]  4 Ta 1.96

Output
**Calculated volume**: 23.30 Å³/atom
**Energy relative to the elements, uncorrected**: 0.0378 eV per atom
**DOS(E_F)**: 2.223 states/eV per cell
**Calculated total energy**: -135.524 eV/cell